A geometry-optimized KNaEu structure, computed with GGA-PBE.

Geometry as extended XYZ:
```
3
Lattice="4.028 0.000 0.000 0.000 4.028 0.000 -2.014 -2.014 9.235" Properties=species:S:1:pos:R:3 pbc="T T T"
Eu 0.000 0.000 5.894
Na 2.014 2.014 3.200
K 0.000 0.000 0.141
```

## Properties
ΔH_f (0 K) = 0.127 eV/atom
ΔE to the lowest computed polymorph = 11 meV per atom
calculated volume = 149.81 Å³ per cell



A geometry-optimized K2NaEu structure, computed with GGA-PBE.

Geometry as extended XYZ:
```
4
Lattice="-2.341 -3.429 -1.761 4.238 0.037 -5.706 4.353 -4.617 3.203" Properties=species:S:1:pos:R:3 pbc="T T T"
Eu -1.171 -1.714 -0.880
Na 3.125 -4.004 -2.132
K 2.176 -2.308 1.601
K 2.119 0.018 -2.853
```

## Properties
ΔH_f (0 K) = 0.187 eV/atom
ΔE to the lowest computed polymorph = 52 meV per atom
calculated volume = 227.83 Å³ per cell



A geometry-optimized K2NaEu structure, computed with GGA-PBE.

Geometry as extended XYZ:
```
4
Lattice="-0.096 -2.123 -3.528 3.408 -1.855 -1.380 -2.543 -13.595 5.846" Properties=species:S:1:pos:R:3 pbc="T T T"
Eu 0.000 0.000 0.000
Na 0.385 -8.787 0.469
K -1.562 -10.295 3.834
K 2.331 -7.278 -2.896
```

## Properties
ΔH_f (0 K) = 0.170 eV/atom
ΔE to the lowest computed polymorph = 35 meV per atom
calculated volume = 217.78 Å³ per cell



A geometry-optimized K2NaEu structure, computed with GGA-PBE.

Geometry as extended XYZ:
```
4
Lattice="-1.257 0.980 3.798 2.189 -3.134 1.533 10.205 7.797 1.366" Properties=species:S:1:pos:R:3 pbc="T T T"
Eu 0.466 -1.077 2.666
Na 5.569 2.822 3.349
K 7.497 5.728 1.003
K 2.708 2.069 0.362
```

## Properties
ΔH_f (0 K) = 0.135 eV/atom
ΔE to the lowest computed polymorph = 0 meV per atom
calculated volume = 219.11 Å³ per cell



A geometry-optimized KNaEu2 structure, computed with GGA-PBE.

Geometry as extended XYZ:
```
4
Lattice="3.930 0.000 0.000 1.965 3.404 0.000 1.965 1.135 14.328" Properties=species:S:1:pos:R:3 pbc="T T T"
Eu 1.965 1.135 10.358
Eu 5.895 3.404 3.969
Na 3.930 2.269 7.164
K 0.000 0.000 0.000
```

## Properties
ΔH_f (0 K) = 0.195 eV/atom
ΔE to the lowest computed polymorph = 18 meV per atom
calculated volume = 191.65 Å³ per cell



A geometry-optimized KNaEu2 structure, computed with GGA-PBE.

Geometry as extended XYZ:
```
4
Lattice="3.999 0.000 0.000 0.000 3.999 0.000 0.000 0.000 12.222" Properties=species:S:1:pos:R:3 pbc="T T T"
Eu 0.000 0.000 9.628
Eu 0.000 0.000 2.594
Na 1.999 1.999 0.000
K 1.999 1.999 6.111
```

## Properties
ΔH_f (0 K) = 0.177 eV/atom
ΔE to the lowest computed polymorph = 0 meV per atom
calculated volume = 195.43 Å³ per cell



Q: The highest ΔH_f (0 K) belongs to which entry?
A: number 5



Q: Which value of ΔE to the lowest computed polymorph does entry 3 give?
A: 35 meV per atom